No. 1
The following is a PBE calculation of a geometry-optimized Dy5HoSc structure, from the Alexandria database.

Structure (POSCAR):
```
Dy5HoSc
1.0
-2.8367 4.3055 5.8445
2.8367 -4.3055 5.8445
2.8367 4.3055 -5.8445
Dy Ho Sc
5 1 1
direct
0.0000 0.0000 0.0000
0.2512 0.7512 0.5000
0.3246 0.5000 0.8246
0.6754 0.5000 0.1754
0.7488 0.2488 0.5000
0.0000 0.5000 0.5000
0.5000 0.0000 0.5000
```

Computed properties:
* magnetic moment: 0.0 μB/f.u.
* energy of formation: 1.085 eV/atom


No. 2
The following is a PBE calculation of a geometry-optimized Dy3Ho6Sc2 structure, from the Alexandria database.

Structure (POSCAR):
```
Dy3Ho6Sc2
1.0
-2.3395 2.3395 15.9176
2.3395 -2.3395 15.9176
2.3395 2.3395 -15.9176
Dy Ho Sc
3 6 2
direct
0.0000 0.0000 0.0000
0.1991 0.1991 0.0000
0.8009 0.8009 0.0000
0.1161 0.6161 0.5000
0.3063 0.3063 0.0000
0.3839 0.8839 0.5000
0.6161 0.1161 0.5000
0.6937 0.6937 0.0000
0.8839 0.3839 0.5000
0.4564 0.4564 0.0000
0.5436 0.5436 0.0000
```

Computed properties:
* magnetic moment: 0.0 μB/f.u.
* energy of formation: 0.302 eV/atom


No. 3
The following is a PBE calculation of a geometry-optimized Dy6HoSc2 structure, from the Alexandria database.

Structure (POSCAR):
```
Dy6HoSc2
1.0
10.5959 -4.7461 0.0000
10.5959 4.7461 0.0000
-1.4248 0.0000 5.3187
Dy Ho Sc
12 2 4
direct
0.0031 0.1695 0.3259
0.0804 0.5804 0.0799
0.1695 0.0031 0.8259
0.3303 0.4971 0.6520
0.4196 0.9196 0.4201
0.4971 0.3303 0.1520
0.5029 0.6697 0.8480
0.5804 0.0804 0.5799
0.6697 0.5029 0.3480
0.8305 0.9969 0.1741
0.9196 0.4196 0.9201
0.9969 0.8305 0.6741
0.2501 0.7499 0.2500
0.7499 0.2501 0.7500
0.1667 0.3334 0.5082
0.3334 0.1667 0.0082
0.6666 0.8333 0.9918
0.8333 0.6666 0.4918
```

Computed properties:
* magnetic moment: 0.0 μB/f.u.
* energy of formation: 0.077 eV/atom